[1]
# K2TlCrSe

Crystalline K2TlCrSe at its relaxed geometry (PBE, the Alexandria database).

Properties
Raw formation energy, eV per atom: 0.351

The structure in CIF format:
```
data_K2TlCrSe
_cell_length_a 6.0256
_cell_length_b 6.0256
_cell_length_c 5.3976
_cell_angle_alpha 90.00
_cell_angle_beta 90.00
_cell_angle_gamma 90.00
_symmetry_space_group_name_H-M 'P 4/m m m'
_symmetry_Int_Tables_number 123
_symmetry_space_group_name_Hall '-P 4 2'
loop_
_atom_site_label
_atom_site_type_symbol
_atom_site_fract_x
_atom_site_fract_y
_atom_site_fract_z
K1 K 0.0000 0.5000 0.0000
Tl1 Tl 0.0000 0.0000 0.5000
Cr1 Cr 0.0000 0.0000 0.0000
Se1 Se 0.5000 0.5000 0.5000
```

---

[2]
# BaSm2AgO5

Crystalline BaSm2AgO5 at its relaxed geometry (PBE, the Alexandria database).

Properties
Raw formation energy, eV per atom: -2.384

The structure in CIF format:
```
data_BaSm2AgO5
_cell_length_a 6.7302
_cell_length_b 6.7302
_cell_length_c 12.4604
_cell_angle_alpha 90.00
_cell_angle_beta 90.00
_cell_angle_gamma 90.00
_symmetry_space_group_name_H-M 'I 4/m c m'
_symmetry_Int_Tables_number 140
_symmetry_space_group_name_Hall '-I 4 2c'
loop_
_atom_site_label
_atom_site_type_symbol
_atom_site_fract_x
_atom_site_fract_y
_atom_site_fract_z
Ba1 Ba 0.0000 0.0000 0.2500
Sm1 Sm 0.1698 0.3302 0.0000
Ag1 Ag 0.0000 0.5000 0.2500
O1 O 0.0000 0.0000 0.0000
O2 O 0.1478 0.3522 0.3830
```

---

[3]
# Eu3PdO

Crystalline Eu3PdO at its relaxed geometry (PBE, the Alexandria database).

Properties
Raw formation energy, eV per atom: -1.303

The structure in CIF format:
```
data_Eu3PdO
_cell_length_a 4.9490
_cell_length_b 4.9490
_cell_length_c 4.9490
_cell_angle_alpha 90.00
_cell_angle_beta 90.00
_cell_angle_gamma 90.00
_symmetry_space_group_name_H-M 'P m -3 m'
_symmetry_Int_Tables_number 221
_symmetry_space_group_name_Hall '-P 4 2 3'
loop_
_atom_site_label
_atom_site_type_symbol
_atom_site_fract_x
_atom_site_fract_y
_atom_site_fract_z
Eu1 Eu 0.0000 0.0000 0.5000
Pd1 Pd 0.5000 0.5000 0.5000
O1 O 0.0000 0.0000 0.0000
```

---

[4]
# Li2CaSiIr

Crystalline Li2CaSiIr at its relaxed geometry (PBE, the Alexandria database).

Properties
Raw formation energy, eV per atom: -0.292

The structure in CIF format:
```
data_Li2CaSiIr
_cell_length_a 4.7215
_cell_length_b 4.7215
_cell_length_c 4.5560
_cell_angle_alpha 90.00
_cell_angle_beta 90.00
_cell_angle_gamma 90.00
_symmetry_space_group_name_H-M 'P 4/m m m'
_symmetry_Int_Tables_number 123
_symmetry_space_group_name_Hall '-P 4 2'
loop_
_atom_site_label
_atom_site_type_symbol
_atom_site_fract_x
_atom_site_fract_y
_atom_site_fract_z
Li1 Li 0.0000 0.5000 0.0000
Ca1 Ca 0.0000 0.0000 0.5000
Si1 Si 0.5000 0.5000 0.5000
Ir1 Ir 0.5000 0.5000 0.0000
```

---

[5]
# NaCa2TlSe4

Crystalline NaCa2TlSe4 at its relaxed geometry (PBE, the Alexandria database).

Properties
Raw formation energy, eV per atom: -1.209

The structure in CIF format:
```
data_NaCa2TlSe4
_cell_length_a 8.5236
_cell_length_b 8.5312
_cell_length_c 11.6638
_cell_angle_alpha 90.00
_cell_angle_beta 90.00
_cell_angle_gamma 90.00
_symmetry_space_group_name_H-M 'I m m a'
_symmetry_Int_Tables_number 74
_symmetry_space_group_name_Hall '-I 2b 2'
loop_
_atom_site_label
_atom_site_type_symbol
_atom_site_fract_x
_atom_site_fract_y
_atom_site_fract_z
Na1 Na 0.2500 0.2500 0.2500
Ca1 Ca 0.0000 0.0000 0.0000
Ca2 Ca 0.2500 0.2500 0.7500
Tl1 Tl 0.0000 0.0000 0.5000
Se1 Se 0.0000 0.0054 0.7355
Se2 Se 0.2411 0.2500 0.9994
```

---

[6]
# Ti2BeB

Crystalline Ti2BeB at its relaxed geometry (PBE, the Alexandria database).

Properties
Energy of formation from the pure elements, kJ/mol of formula units: -43
Energy above the lowest structure with this stoichiometry, meV/atom: 49

The structure in CIF format:
```
data_Ti2BeB
_cell_length_a 5.6857
_cell_length_b 5.6857
_cell_length_c 5.6857
_cell_angle_alpha 90.00
_cell_angle_beta 90.00
_cell_angle_gamma 90.00
_symmetry_space_group_name_H-M 'F m -3 m'
_symmetry_Int_Tables_number 225
_symmetry_space_group_name_Hall '-F 4 2 3'
loop_
_atom_site_label
_atom_site_type_symbol
_atom_site_fract_x
_atom_site_fract_y
_atom_site_fract_z
Ti1 Ti 0.2500 0.2500 0.2500
Be1 Be 0.0000 0.0000 0.0000
B1 B 0.0000 0.0000 0.5000
```

---

[7]
# SrPrPCl

Crystalline SrPrPCl at its relaxed geometry (PBE, the Alexandria database).

Properties
Raw formation energy, eV per atom: -1.550

The structure in CIF format:
```
data_SrPrPCl
_cell_length_a 4.1947
_cell_length_b 4.1947
_cell_length_c 22.4888
_cell_angle_alpha 90.00
_cell_angle_beta 90.00
_cell_angle_gamma 120.00
_symmetry_space_group_name_H-M 'R 3 m'
_symmetry_Int_Tables_number 160
_symmetry_space_group_name_Hall 'R 3 -2"'
loop_
_atom_site_label
_atom_site_type_symbol
_atom_site_fract_x
_atom_site_fract_y
_atom_site_fract_z
Sr1 Sr 0.0000 0.0000 0.0000
Pr1 Pr 0.0000 0.0000 0.1916
P1 P 0.0000 0.0000 0.5919
Cl1 Cl 0.0000 0.0000 0.7670
```

---

[8]
# Ca2TbNdTe4

Crystalline Ca2TbNdTe4 at its relaxed geometry (PBE, the Alexandria database).

Properties
Raw formation energy, eV per atom: -1.488

The structure in CIF format:
```
data_Ca2TbNdTe4
_cell_length_a 7.6722
_cell_length_b 4.4286
_cell_length_c 7.8467
_cell_angle_alpha 90.00
_cell_angle_beta 109.04
_cell_angle_gamma 90.00
_symmetry_space_group_name_H-M 'P 1 2/m 1'
_symmetry_Int_Tables_number 10
_symmetry_space_group_name_Hall '-P 2y'
loop_
_atom_site_label
_atom_site_type_symbol
_atom_site_fract_x
_atom_site_fract_y
_atom_site_fract_z
Ca1 Ca 0.0000 0.0000 0.0000
Ca2 Ca 0.5000 0.5000 0.0000
Tb1 Tb 0.0000 0.5000 0.5000
Nd1 Nd 0.5000 0.0000 0.5000
Te1 Te 0.2437 0.5000 0.2475
Te2 Te 0.2448 0.0000 0.7489
```

---

[9]
# AcMg6Pb4

Crystalline AcMg6Pb4 at its relaxed geometry (PBE, the Alexandria database).

Properties
Energy of formation from the pure elements, kJ/mol of formula units: -143

The structure in CIF format:
```
data_AcMg6Pb4
_cell_length_a 8.7385
_cell_length_b 8.7385
_cell_length_c 4.5825
_cell_angle_alpha 90.00
_cell_angle_beta 90.00
_cell_angle_gamma 120.00
_symmetry_space_group_name_H-M 'P -6 m 2'
_symmetry_Int_Tables_number 187
_symmetry_space_group_name_Hall 'P -6 2'
loop_
_atom_site_label
_atom_site_type_symbol
_atom_site_fract_x
_atom_site_fract_y
_atom_site_fract_z
Ac1 Ac 0.0000 0.0000 0.0000
Mg1 Mg 0.2024 0.4048 0.5000
Mg2 Mg 0.5363 0.0726 0.0000
Pb1 Pb 0.3333 0.6667 0.0000
Pb2 Pb 0.3759 0.1879 0.5000
```

---

[10]
# Pr5HoIr4

Crystalline Pr5HoIr4 at its relaxed geometry (PBE, the Alexandria database).

Properties
Energy of formation from the pure elements, kJ/mol of formula units: -503

The structure in CIF format:
```
data_Pr5HoIr4
_cell_length_a 18.8194
_cell_length_b 4.3175
_cell_length_c 7.6305
_cell_angle_alpha 90.00
_cell_angle_beta 113.78
_cell_angle_gamma 90.00
_symmetry_space_group_name_H-M 'C 1 2/m 1'
_symmetry_Int_Tables_number 12
_symmetry_space_group_name_Hall '-C 2y'
loop_
_atom_site_label
_atom_site_type_symbol
_atom_site_fract_x
_atom_site_fract_y
_atom_site_fract_z
Pr1 Pr 0.0000 0.0000 0.0000
Pr2 Pr 0.1642 0.5000 0.4209
Pr3 Pr 0.1643 0.5000 0.9075
Ho1 Ho 0.0000 0.0000 0.5000
Ir1 Ir 0.0000 0.5000 0.2592
Ir2 Ir 0.1972 0.0000 0.6972
```

---

[11]
# TbEuHo4

Crystalline TbEuHo4 at its relaxed geometry (PBE, the Alexandria database).

Properties
Energy of formation from the pure elements, kJ/mol of formula units: 146

The structure in CIF format:
```
data_TbEuHo4
_cell_length_a 9.4014
_cell_length_b 9.4014
_cell_length_c 9.4014
_cell_angle_alpha 90.00
_cell_angle_beta 90.00
_cell_angle_gamma 90.00
_symmetry_space_group_name_H-M 'F -4 3 m'
_symmetry_Int_Tables_number 216
_symmetry_space_group_name_Hall 'F -4 2 3'
loop_
_atom_site_label
_atom_site_type_symbol
_atom_site_fract_x
_atom_site_fract_y
_atom_site_fract_z
Tb1 Tb 0.0000 0.0000 0.0000
Eu1 Eu 0.2500 0.2500 0.2500
Ho1 Ho 0.1266 0.1266 0.6266
```

---

[12]
# KRbAsNCl

Crystalline KRbAsNCl at its relaxed geometry (PBE, the Alexandria database).

Properties
Raw formation energy, eV per atom: -0.560
Energy above the lowest structure with this stoichiometry, meV/atom: 61

The structure in CIF format:
```
data_KRbAsNCl
_cell_length_a 5.1494
_cell_length_b 3.3426
_cell_length_c 17.2398
_cell_angle_alpha 90.00
_cell_angle_beta 90.00
_cell_angle_gamma 90.00
_symmetry_space_group_name_H-M 'A m m 2'
_symmetry_Int_Tables_number 38
_symmetry_space_group_name_Hall 'A 2 -2'
loop_
_atom_site_label
_atom_site_type_symbol
_atom_site_fract_x
_atom_site_fract_y
_atom_site_fract_z
K1 K 0.0000 0.0000 0.0000
Rb1 Rb 0.5000 0.0000 0.2213
As1 As 0.5000 0.0000 0.4254
N1 N 0.5000 0.0000 0.8692
Cl1 Cl 0.0000 0.0000 0.6465
```

---

[13]
# Mg3PN

Crystalline Mg3PN at its relaxed geometry (PBE, the Alexandria database).

Properties
Raw formation energy, eV per atom: -0.481
Energy above the lowest structure with this stoichiometry, meV/atom: 257

The structure in CIF format:
```
data_Mg3PN
_cell_length_a 3.6217
_cell_length_b 5.7023
_cell_length_c 7.1347
_cell_angle_alpha 90.00
_cell_angle_beta 90.00
_cell_angle_gamma 90.00
_symmetry_space_group_name_H-M 'P m m n'
_symmetry_Int_Tables_number 59
loop_
_symmetry_equiv_pos_as_xyz
'x,y,z'
'-x,-y,-z'
'-x+1/2,-y+1/2,z'
'x+1/2,y+1/2,-z'
'x+1/2,-y,-z'
'-x+1/2,y,z'
'-x,y+1/2,-z'
'x,-y+1/2,z'
loop_
_atom_site_label
_atom_site_type_symbol
_atom_site_fract_x
_atom_site_fract_y
_atom_site_fract_z
Mg1 Mg 0.2500 0.0056 0.1472
Mg2 Mg 0.2500 0.2500 0.5922
P1 P 0.2500 0.7500 0.6502
N1 N 0.2500 0.2500 0.9035
```

---

[14]
# Tc4Mo5

Crystalline Tc4Mo5 at its relaxed geometry (PBE, the Alexandria database).

Properties
Energy of formation from the pure elements, kJ/mol of formula units: 81
Energy above the lowest structure with this stoichiometry, meV/atom: 0

The structure in CIF format:
```
data_Tc4Mo5
_cell_length_a 9.3937
_cell_length_b 9.3937
_cell_length_c 3.1317
_cell_angle_alpha 90.00
_cell_angle_beta 90.00
_cell_angle_gamma 90.00
_symmetry_space_group_name_H-M 'I 4/m m m'
_symmetry_Int_Tables_number 139
_symmetry_space_group_name_Hall '-I 4 2'
loop_
_atom_site_label
_atom_site_type_symbol
_atom_site_fract_x
_atom_site_fract_y
_atom_site_fract_z
Tc1 Tc 0.0000 0.3322 0.0000
Mo1 Mo 0.0000 0.0000 0.0000
Mo2 Mo 0.1680 0.1680 0.5000
```

---

[15]
# HoUTe4

Crystalline HoUTe4 at its relaxed geometry (PBE, the Alexandria database).

Properties
Raw formation energy, eV per atom: -0.696
Energy above the lowest structure with this stoichiometry, meV/atom: 234

The structure in CIF format:
```
data_HoUTe4
_cell_length_a 7.5122
_cell_length_b 7.4925
_cell_length_c 7.4321
_cell_angle_alpha 90.00
_cell_angle_beta 90.71
_cell_angle_gamma 90.00
_symmetry_space_group_name_H-M 'P 1 21/c 1'
_symmetry_Int_Tables_number 14
_symmetry_space_group_name_Hall '-P 2ybc'
loop_
_atom_site_label
_atom_site_type_symbol
_atom_site_fract_x
_atom_site_fract_y
_atom_site_fract_z
Ho1 Ho 0.0000 0.0000 0.0000
U1 U 0.5000 0.0000 0.5000
Te1 Te 0.1561 0.1473 0.3563
Te2 Te 0.3469 0.6577 0.3418
```

---

[16]
# Nd6HgI8

Crystalline Nd6HgI8 at its relaxed geometry (PBE, the Alexandria database).

Properties
Raw formation energy, eV per atom: -1.075

The structure in CIF format:
```
data_Nd6HgI8
_cell_length_a 7.6827
_cell_length_b 7.6827
_cell_length_c 34.9058
_cell_angle_alpha 90.00
_cell_angle_beta 90.00
_cell_angle_gamma 120.00
_symmetry_space_group_name_H-M 'R -3'
_symmetry_Int_Tables_number 148
_symmetry_space_group_name_Hall '-R 3'
loop_
_atom_site_label
_atom_site_type_symbol
_atom_site_fract_x
_atom_site_fract_y
_atom_site_fract_z
Nd1 Nd 0.0000 0.3195 0.0514
Hg1 Hg 0.0000 0.0000 0.0000
I1 I 0.0000 0.0000 0.3333
I2 I 0.0000 0.3378 0.8917
```

---

[17]
# HoHgBPt4

Crystalline HoHgBPt4 at its relaxed geometry (PBE, the Alexandria database).

Properties
Energy of formation from the pure elements, kJ/mol of formula units: 732

The structure in CIF format:
```
data_HoHgBPt4
_cell_length_a 10.5291
_cell_length_b 10.5291
_cell_length_c 10.5291
_cell_angle_alpha 90.00
_cell_angle_beta 90.00
_cell_angle_gamma 90.00
_symmetry_space_group_name_H-M 'F -4 3 m'
_symmetry_Int_Tables_number 216
_symmetry_space_group_name_Hall 'F -4 2 3'
loop_
_atom_site_label
_atom_site_type_symbol
_atom_site_fract_x
_atom_site_fract_y
_atom_site_fract_z
Ho1 Ho 0.0000 0.0000 0.0000
Hg1 Hg 0.2500 0.2500 0.2500
B1 B 0.2500 0.2500 0.7500
Pt1 Pt 0.1427 0.1427 0.8573
```

---

[18]
# NaV2Os2

Crystalline NaV2Os2 at its relaxed geometry (PBE, the Alexandria database).

Properties
Energy of formation from the pure elements, kJ/mol of formula units: 84

The structure in CIF format:
```
data_NaV2Os2
_cell_length_a 7.5912
_cell_length_b 7.5912
_cell_length_c 2.7403
_cell_angle_alpha 90.00
_cell_angle_beta 90.00
_cell_angle_gamma 90.00
_symmetry_space_group_name_H-M 'P 4/m b m'
_symmetry_Int_Tables_number 127
_symmetry_space_group_name_Hall '-P 4 2ab'
loop_
_atom_site_label
_atom_site_type_symbol
_atom_site_fract_x
_atom_site_fract_y
_atom_site_fract_z
Na1 Na 0.0000 0.0000 0.0000
V1 V 0.1481 0.3519 0.5000
Os1 Os 0.1435 0.6435 0.0000
```

---

[19]
# Ce6SbAs2S3

Crystalline Ce6SbAs2S3 at its relaxed geometry (PBE, the Alexandria database).

Properties
Raw formation energy, eV per atom: -1.642

The structure in CIF format:
```
data_Ce6SbAs2S3
_cell_length_a 18.1563
_cell_length_b 4.1703
_cell_length_c 8.3470
_cell_angle_alpha 90.00
_cell_angle_beta 102.99
_cell_angle_gamma 90.00
_symmetry_space_group_name_H-M 'C 1 2/m 1'
_symmetry_Int_Tables_number 12
_symmetry_space_group_name_Hall '-C 2y'
loop_
_atom_site_label
_atom_site_type_symbol
_atom_site_fract_x
_atom_site_fract_y
_atom_site_fract_z
Ce1 Ce 0.0013 0.0000 0.2297
Ce2 Ce 0.1649 0.5000 0.0869
Ce3 Ce 0.1741 0.5000 0.5815
Sb1 Sb 0.0000 0.5000 0.5000
As1 As 0.1673 0.0000 0.8332
S1 S 0.0000 0.5000 0.0000
S2 S 0.1649 0.0000 0.3313
```

---

[20]
# CoAgS2Cl

Crystalline CoAgS2Cl at its relaxed geometry (PBE, the Alexandria database).

Properties
Raw formation energy, eV per atom: 0.961
Energy above the lowest structure with this stoichiometry, meV/atom: 748

The structure in CIF format:
```
data_CoAgS2Cl
_cell_length_a 4.8649
_cell_length_b 4.8649
_cell_length_c 4.8308
_cell_angle_alpha 90.00
_cell_angle_beta 90.00
_cell_angle_gamma 90.00
_symmetry_space_group_name_H-M 'P 4/m m m'
_symmetry_Int_Tables_number 123
_symmetry_space_group_name_Hall '-P 4 2'
loop_
_atom_site_label
_atom_site_type_symbol
_atom_site_fract_x
_atom_site_fract_y
_atom_site_fract_z
Co1 Co 0.0000 0.0000 0.0000
Ag1 Ag 0.5000 0.5000 0.5000
S1 S 0.0000 0.5000 0.5000
Cl1 Cl 0.5000 0.5000 0.0000
```

---

| no. | V (A^3/atom) |
| --- | --- |
| 1 | 39.2 |
| 2 | 15.7 |
| 3 | 24.2 |
| 4 | 20.3 |
| 5 | 26.5 |
| 6 | 11.5 |
| 7 | 28.6 |
| 8 | 31.5 |
| 9 | 27.5 |
| 10 | 28.4 |
| 11 | 34.6 |
| 12 | 29.7 |
| 13 | 14.7 |
| 14 | 15.4 |
| 15 | 34.9 |
| 16 | 39.6 |
| 17 | 41.7 |
| 18 | 15.8 |
| 19 | 25.7 |
| 20 | 22.9 |